Entry 1:
# PBE Sr6TaO8, relaxed
# Raw formation energy = -2.75 eV per atom
# Symmetry = Fm-3m (225)
# Size of the total moment = 0.03 μB per atom
data_Sr6TaO8
_chemical_formula_sum 'Sr6 Ta1 O8'
_cell_length_a 7.254
_cell_length_b 7.254
_cell_length_c 7.254
_cell_angle_alpha 60.00
_cell_angle_beta 60.00
_cell_angle_gamma 60.00
_space_group_name_H-M_alt 'P 1'
_space_group_IT_number 1
_space_group_name_Hall 'P 1'
loop_
_atom_site_label
_atom_site_type_symbol
_atom_site_fract_x
_atom_site_fract_y
_atom_site_fract_z
O1 O 0.199 0.801 0.199
O2 O 0.199 0.199 0.801
O3 O 0.801 0.801 0.199
O4 O 0.199 0.801 0.801
O5 O 0.750 0.750 0.750
O6 O 0.801 0.199 0.801
O7 O 0.801 0.199 0.199
O8 O 0.250 0.250 0.250
Sr1 Sr 0.000 0.500 0.500
Sr2 Sr 0.000 0.000 0.500
Sr3 Sr 0.000 0.500 0.000
Sr4 Sr 0.500 0.000 0.000
Sr5 Sr 0.500 0.000 0.500
Sr6 Sr 0.500 0.500 0.000
Ta1 Ta 0.000 0.000 0.000

Entry 2:
# PBE Zr2Mn3Fe, relaxed
# Energy of formation from the pure elements = -0.205 eV per atom
# ΔE to the lowest computed polymorph = 0.0 meV per atom
# Symmetry = R-3m (166)
# Size of the total moment = 0.64 μB per atom
data_Zr2Mn3Fe
_chemical_formula_sum 'Zr2 Mn3 Fe1'
_cell_length_a 4.935
_cell_length_b 4.935
_cell_length_c 4.997
_cell_angle_alpha 90.03
_cell_angle_beta 119.60
_cell_angle_gamma 119.96
_space_group_name_H-M_alt 'P 1'
_space_group_IT_number 1
_space_group_name_Hall 'P 1'
loop_
_atom_site_label
_atom_site_type_symbol
_atom_site_fract_x
_atom_site_fract_y
_atom_site_fract_z
Mn1 Mn 0.000 0.000 0.500
Mn2 Mn 0.500 0.000 0.500
Mn3 Mn 0.500 0.500 0.500
Fe1 Fe 0.000 0.000 0.000
Zr1 Zr 0.248 0.624 0.872
Zr2 Zr 0.752 0.376 0.128

Entry 3:
# PBE TlHAu, relaxed
# ΔE to the lowest computed polymorph = 104.8 meV per atom
# Symmetry = P-6m2 (187)
# Size of the total moment = 0.00 μB per atom
data_TlHAu
_chemical_formula_sum 'Tl1 H1 Au1'
_cell_length_a 5.456
_cell_length_b 3.342
_cell_length_c 3.342
_cell_angle_alpha 120.00
_cell_angle_beta 90.00
_cell_angle_gamma 90.00
_space_group_name_H-M_alt 'P 1'
_space_group_IT_number 1
_space_group_name_Hall 'P 1'
loop_
_atom_site_label
_atom_site_type_symbol
_atom_site_fract_x
_atom_site_fract_y
_atom_site_fract_z
H1 H 0.167 0.333 0.667
Au1 Au 0.167 0.000 0.000
Tl1 Tl 0.667 0.667 0.333

Entry 4:
# PBE RbSr2Se2, relaxed
# Raw formation energy = -1.37 eV per atom
# ΔE to the lowest computed polymorph = 0.0 meV per atom
# Symmetry = I4/mmm (139)
# Size of the total moment = 0.00 μB per atom
data_RbSr2Se2
_chemical_formula_sum 'Rb1 Sr2 Se2'
_cell_length_a 5.900
_cell_length_b 5.900
_cell_length_c 9.353
_cell_angle_alpha 71.62
_cell_angle_beta 71.62
_cell_angle_gamma 90.00
_space_group_name_H-M_alt 'P 1'
_space_group_IT_number 1
_space_group_name_Hall 'P 1'
loop_
_atom_site_label
_atom_site_type_symbol
_atom_site_fract_x
_atom_site_fract_y
_atom_site_fract_z
Sr1 Sr 0.750 0.250 0.500
Sr2 Sr 0.250 0.750 0.500
Se1 Se 0.795 0.795 0.409
Se2 Se 0.205 0.205 0.591
Rb1 Rb 0.000 0.000 0.000

Entry 5:
# PBE BeAg7, relaxed
# Energy of formation from the pure elements = 0.140 eV per atom
# Symmetry = Fm-3m (225)
# Size of the total moment = 0.00 μB per atom
data_BeAg7
_chemical_formula_sum 'Be1 Ag7'
_cell_length_a 5.772
_cell_length_b 5.772
_cell_length_c 5.772
_cell_angle_alpha 60.00
_cell_angle_beta 60.00
_cell_angle_gamma 60.00
_space_group_name_H-M_alt 'P 1'
_space_group_IT_number 1
_space_group_name_Hall 'P 1'
loop_
_atom_site_label
_atom_site_type_symbol
_atom_site_fract_x
_atom_site_fract_y
_atom_site_fract_z
Ag1 Ag 0.500 0.500 0.500
Ag2 Ag 0.500 0.000 0.500
Ag3 Ag 0.000 0.000 0.500
Ag4 Ag 0.000 0.500 0.000
Ag5 Ag 0.500 0.000 0.000
Ag6 Ag 0.500 0.500 0.000
Ag7 Ag 0.000 0.500 0.500
Be1 Be 0.000 0.000 0.000

Entry 6:
# PBE Ba2BePb, relaxed
# Energy of formation from the pure elements = 0.357 eV per atom
# ΔE to the lowest computed polymorph = 444.7 meV per atom
# Symmetry = I-42d (122)
# Size of the total moment = 0.00 μB per atom
data_Ba2BePb
_chemical_formula_sum 'Ba4 Be2 Pb2'
_cell_length_a 9.280
_cell_length_b 9.280
_cell_length_c 7.400
_cell_angle_alpha 51.17
_cell_angle_beta 51.17
_cell_angle_gamma 90.00
_space_group_name_H-M_alt 'P 1'
_space_group_IT_number 1
_space_group_name_Hall 'P 1'
loop_
_atom_site_label
_atom_site_type_symbol
_atom_site_fract_x
_atom_site_fract_y
_atom_site_fract_z
Pb1 Pb 0.750 0.250 0.500
Pb2 Pb 0.000 0.000 0.000
Ba1 Ba 0.172 0.625 0.250
Ba2 Ba 0.875 0.828 0.750
Ba3 Ba 0.578 0.125 0.250
Ba4 Ba 0.375 0.422 0.750
Be1 Be 0.250 0.750 0.500
Be2 Be 0.500 0.500 0.000

Entry 7:
# PBE Rb3Sm3UTe8, relaxed
# Raw formation energy = -1.24 eV per atom
# Symmetry = R-3m (166)
# Size of the total moment = 0.13 μB per atom
data_Rb3Sm3UTe8
_chemical_formula_sum 'Rb3 Sm3 U1 Te8'
_cell_length_a 9.072
_cell_length_b 9.073
_cell_length_c 10.181
_cell_angle_alpha 116.48
_cell_angle_beta 90.00
_cell_angle_gamma 119.99
_space_group_name_H-M_alt 'P 1'
_space_group_IT_number 1
_space_group_name_Hall 'P 1'
loop_
_atom_site_label
_atom_site_type_symbol
_atom_site_fract_x
_atom_site_fract_y
_atom_site_fract_z
Te1 Te 0.261 0.032 0.302
Te2 Te 0.770 0.032 0.302
Te3 Te 0.230 0.968 0.698
Te4 Te 0.770 0.541 0.302
Te5 Te 0.230 0.459 0.698
Te6 Te 0.266 0.531 0.297
Te7 Te 0.739 0.968 0.698
Te8 Te 0.734 0.469 0.703
Sm1 Sm 0.500 0.500 0.500
Sm2 Sm 0.000 0.500 0.500
Sm3 Sm 0.500 0.000 0.500
Rb1 Rb 0.000 0.500 0.000
Rb2 Rb 0.000 0.000 0.000
Rb3 Rb 0.500 0.500 0.000
U1 U 0.000 0.000 0.500

Entry 8:
# PBE TaMn2Ga, relaxed
# Energy of formation from the pure elements = 0.494 eV per atom
# Symmetry = Immm (71)
# Size of the total moment = 1.48 μB per atom
data_TaMn2Ga
_chemical_formula_sum 'Ta1 Mn2 Ga1'
_cell_length_a 5.757
_cell_length_b 5.757
_cell_length_c 5.757
_cell_angle_alpha 56.09
_cell_angle_beta 152.53
_cell_angle_gamma 132.12
_space_group_name_H-M_alt 'P 1'
_space_group_IT_number 1
_space_group_name_Hall 'P 1'
loop_
_atom_site_label
_atom_site_type_symbol
_atom_site_fract_x
_atom_site_fract_y
_atom_site_fract_z
Mn1 Mn 0.000 0.244 0.244
Mn2 Mn 0.000 0.756 0.756
Ga1 Ga 0.000 0.000 0.000
Ta1 Ta 0.000 0.500 0.500